Record 1
BaMgGe: relaxed, PBE-GGA.

Crystal system   cubic
ΔH_f (0 K)   -0.3437 eV per atom
ρ   3.9 g/cm3
Magnetization   0.000 Bohr magnetons per cell

a = 5.205 Å, b = 5.205 Å, c = 5.205 Å
α = 60.00°, β = 60.00°, γ = 60.00°
Fractional positions:
Mg: 0.500 0.500 0.500
Ge: 0.250 0.250 0.250
Ba: 0.000 0.000 0.000



Record 2
Fe3P: relaxed, PBE-GGA.

Crystal system   orthorhombic
ΔH_f (0 K)   0.0281 eV per atom
E above lowest polymorph   0.385 eV/atom
ρ   7.0 g/cm3
Magnetization   6.871 Bohr magnetons per cell

a = 2.619 Å, b = 2.619 Å, c = 7.210 Å
α = 90.00°, β = 90.00°, γ = 107.61°
Fractional positions:
Fe: 0.000 0.000 0.482
Fe: 0.000 0.000 0.018
Fe: 0.500 0.500 0.750
P: 0.500 0.500 0.250



Record 3
KMgI3: relaxed, PBE-GGA.

ΔE_f (raw)   -1.200 eV/atom
Crystal system   orthorhombic
ρ   3.9 g/cm3
Magnetization   0.000 Bohr magnetons per cell

a = 4.407 Å, b = 10.354 Å, c = 16.638 Å
α = 90.00°, β = 90.00°, γ = 90.00°
Fractional positions:
Mg: 0.250 0.662 0.553
K: 0.750 0.052 0.677
K: 0.250 0.948 0.323
Mg: 0.750 0.338 0.447
I: 0.750 0.479 0.601
I: 0.250 0.775 0.709
I: 0.250 0.275 0.791
K: 0.750 0.552 0.823
Mg: 0.250 0.162 0.947
I: 0.750 0.979 0.899
I: 0.750 0.829 0.492
I: 0.250 0.171 0.508
I: 0.750 0.225 0.291
Mg: 0.750 0.838 0.053
I: 0.250 0.671 0.992
I: 0.250 0.021 0.101
I: 0.250 0.521 0.399
I: 0.750 0.329 0.008
I: 0.750 0.725 0.209
K: 0.250 0.448 0.177



Record 4
BeGa2Cu2: relaxed, PBE-GGA.

Crystal system   tetragonal
ΔH_f (0 K)   0.2245 eV per atom
E above lowest polymorph   0.078 eV/atom
ρ   6.5 g/cm3
Magnetization   0.000 Bohr magnetons per cell

a = 6.152 Å, b = 6.152 Å, c = 3.717 Å
α = 90.00°, β = 90.00°, γ = 90.00°
Fractional positions:
Ga: 0.846 0.654 0.000
Cu: 0.149 0.649 0.500
Ga: 0.654 0.154 0.000
Ga: 0.154 0.346 0.000
Cu: 0.851 0.351 0.500
Cu: 0.649 0.851 0.500
Cu: 0.351 0.149 0.500
Be: 0.000 0.000 0.000
Ga: 0.346 0.846 0.000
Be: 0.500 0.500 0.000